This record from the Open Quantum Materials Database describes an optimized crystal structure of Ni3W10. The functional is PBE-GGA.

Summary:
Its crystal system is trigonal. Its formation enthalpy at 0 K is 0.38 eV per atom. The value obtained for the total energy is -10.88 eV/atom.

```
Ni3W10
1.0
2.5740 1.4861 8.9084
-2.5740 1.4861 8.9084
0.0000 -2.9722 8.9084
Ni W
3 10
Direct
0.0000 0.0000 0.0000 Ni
0.3503 0.3503 0.3503 Ni
0.6497 0.6497 0.6497 Ni
0.0946 0.0946 0.5904 W
0.0946 0.5904 0.0946 W
0.1667 0.1667 0.1667 W
0.4096 0.9054 0.9054 W
0.4529 0.4529 0.4529 W
0.5471 0.5471 0.5471 W
0.5904 0.0946 0.0946 W
0.8333 0.8333 0.8333 W
0.9054 0.4096 0.9054 W
0.9054 0.9054 0.4096 W
```